No. 1
First-principles (GGA-PBE) data for TlGeSeI after structural relaxation, as listed in Alexandria.

Lattice parameters (Å, degrees): 4.2603 4.2603 27.4619 90.00 90.00 120.00
Last column: nearest neighbours and their distance in Å.
Fractional coordinates of all 12 atoms:
1 Tl 0.0000 0.0000 0.0000  3 I 3.30, 3 Se 3.62
2 Tl 0.3333 0.6667 0.6667  3 I 3.30, 3 Se 3.62
3 Tl 0.6667 0.3333 0.3333  3 I 3.30, 3 Se 3.62
4 Ge 0.0000 0.0000 0.8612  3 Se 2.72
5 Ge 0.3333 0.6667 0.5279  3 Se 2.72
6 Ge 0.6667 0.3333 0.1945  3 Se 2.72
7 Se 0.0000 0.0000 0.2366  3 Ge 2.72
8 Se 0.3333 0.6667 0.9033  3 Ge 2.72
9 Se 0.6667 0.3333 0.5699  3 Ge 2.72
10 I 0.0000 0.0000 0.7467  1 Ge 3.14, 3 Tl 3.30
11 I 0.3333 0.6667 0.4134  1 Ge 3.14, 3 Tl 3.30
12 I 0.6667 0.3333 0.0800  1 Ge 3.14, 3 Tl 3.30

* total moment: 0.0 μB/cell
* VASP energy: -3.287 eV/atom
* SG: R3m

No. 2
First-principles (GGA-PBE) data for Be3ReAs after structural relaxation, as listed in Alexandria.

Lattice parameters (Å, degrees): 4.1367 4.1367 4.1367 90.00 90.00 90.00
Last column: nearest neighbours and their distance in Å.
Fractional coordinates of all 5 atoms:
1 Be 0.0000 0.0000 0.5000  2 As 2.07
2 Be 0.0000 0.5000 0.0000  2 As 2.07
3 Be 0.5000 0.0000 0.0000  2 As 2.07
4 Re 0.5000 0.5000 0.5000  12 Be 2.93
5 As 0.0000 0.0000 0.0000  6 Be 2.07

* total moment: 2.0 μB/cell
* distance to the lowest polymorph of the same formula: 231.2 meV/atom
* energy of formation: 1.361 eV per atom
* SG: Pm-3m

No. 3
First-principles (GGA-PBE) data for BeFe2Ag after structural relaxation, as listed in Alexandria.

Lattice parameters (Å, degrees): 3.8204 3.8204 6.8007 90.00 90.00 90.00
Last column: nearest neighbours and their distance in Å.
Fractional coordinates of all 8 atoms:
1 Be 0.0000 0.0000 0.0000  8 Fe 2.56-2.70, 4 Ag 2.56
2 Be 0.5000 0.5000 0.5000  8 Fe 2.56-2.70, 4 Ag 2.56
3 Fe 0.0000 0.0000 0.5000  4 Fe 2.56, 4 Ag 2.56, 4 Be 2.70
4 Fe 0.0000 0.5000 0.7500  4 Fe 2.56, 4 Be 2.56, 4 Ag 2.70
5 Fe 0.5000 0.0000 0.2500  4 Fe 2.56, 4 Be 2.56, 4 Ag 2.70
6 Fe 0.5000 0.5000 0.0000  4 Fe 2.56, 4 Ag 2.56, 4 Be 2.70
7 Ag 0.0000 0.5000 0.2500  8 Fe 2.56-2.70, 4 Be 2.56
8 Ag 0.5000 0.0000 0.7500  8 Fe 2.56-2.70, 4 Be 2.56

* total moment: 9.3 μB/cell
* energy of formation: 0.304 eV per atom
* SG: I-4m2

No. 4
First-principles (GGA-PBE) data for AgPPd3 after structural relaxation, as listed in Alexandria.

Lattice parameters (Å, degrees): 6.1871 6.1871 4.9610 90.00 90.00 120.00
Last column: nearest neighbours and their distance in Å.
Fractional coordinates of all 10 atoms:
1 Ag 0.3333 0.6667 0.2500  12 Pd 2.95-3.10
2 Ag 0.6667 0.3333 0.7500  12 Pd 2.95-3.10
3 P 0.0000 0.0000 0.0000  6 Pd 2.33, 2 P 2.48
4 P 0.0000 0.0000 0.5000  6 Pd 2.33, 2 P 2.48
5 Pd 0.1843 0.3687 0.7500  2 P 2.33
6 Pd 0.1843 0.8157 0.7500  2 P 2.33
7 Pd 0.3687 0.1843 0.2500  2 P 2.33
8 Pd 0.6313 0.8157 0.7500  2 P 2.33
9 Pd 0.8157 0.1843 0.2500  2 P 2.33
10 Pd 0.8157 0.6313 0.2500  2 P 2.33

* total moment: 0.0 μB/cell
* distance to the lowest polymorph of the same formula: 161.7 meV/atom
* energy of formation: -0.140 eV per atom
* SG: P6_3/mmc

No. 5
First-principles (GGA-PBE) data for MnSnPb2Cl after structural relaxation, as listed in Alexandria.

Lattice parameters (Å, degrees): 5.4866 5.4866 5.3744 90.00 90.00 90.00
Last column: nearest neighbours and their distance in Å.
Fractional coordinates of all 5 atoms:
1 Mn 0.0000 0.0000 0.0000  8 Pb 3.84, 4 Sn 3.88
2 Sn 0.5000 0.5000 0.0000  2 Cl 2.69
3 Pb 0.0000 0.5000 0.5000  2 Cl 2.74
4 Pb 0.5000 0.0000 0.5000  2 Cl 2.74
5 Cl 0.5000 0.5000 0.5000  2 Sn 2.69, 4 Pb 2.74

* total moment: 4.2 μB/cell
* VASP energy: -3.837 eV/atom
* SG: P4/mmm

No. 6
First-principles (GGA-PBE) data for LiTa2Pt after structural relaxation, as listed in Alexandria.

Lattice parameters (Å, degrees): 3.8582 4.0656 4.0873 90.00 90.00 90.00
Last column: nearest neighbours and their distance in Å.
Fractional coordinates of all 4 atoms:
1 Li 0.0000 0.0000 0.0000  4 Pt 2.80, 8 Ta 2.81-2.88
2 Ta 0.0000 0.5000 0.5000  4 Ta 2.80, 4 Pt 2.81, 4 Li 2.88
3 Ta 0.5000 0.0000 0.5000  4 Ta 2.80, 4 Li 2.81, 4 Pt 2.88
4 Pt 0.5000 0.5000 0.0000  4 Li 2.80, 8 Ta 2.81-2.88

* total moment: 0.0 μB/cell
* energy of formation: -0.168 eV per atom
* SG: Pmmm

No. 7
First-principles (GGA-PBE) data for VPRu2 after structural relaxation, as listed in Alexandria.

Lattice parameters (Å, degrees): 2.9071 10.3794 7.0216 90.00 90.00 90.00
Last column: nearest neighbours and their distance in Å.
Fractional coordinates of all 16 atoms:
1 V 0.0000 0.0336 0.2500  2 P 2.63, 8 Ru 2.65-2.74, 2 V 2.91
2 V 0.0000 0.9664 0.7500  2 P 2.63, 8 Ru 2.65-2.74, 2 V 2.91
3 V 0.5000 0.4664 0.7500  2 P 2.63, 8 Ru 2.65-2.74, 2 V 2.91
4 V 0.5000 0.5336 0.2500  2 P 2.63, 8 Ru 2.65-2.74, 2 V 2.91
5 P 0.0000 0.2556 0.7500  6 Ru 2.40-2.41, 2 V 2.63
6 P 0.0000 0.7444 0.2500  6 Ru 2.40-2.41, 2 V 2.63
7 P 0.5000 0.2444 0.2500  6 Ru 2.40-2.41, 2 V 2.63
8 P 0.5000 0.7556 0.7500  6 Ru 2.40-2.41, 2 V 2.63
9 Ru 0.0000 0.3698 0.0479  3 P 2.40-2.41, 2 V 2.65
10 Ru 0.0000 0.3698 0.4521  3 P 2.40-2.41, 2 V 2.65
11 Ru 0.0000 0.6302 0.5479  3 P 2.40-2.41, 2 V 2.65
12 Ru 0.0000 0.6302 0.9521  3 P 2.40-2.41, 2 V 2.65
13 Ru 0.5000 0.1302 0.5479  3 P 2.40-2.41, 2 V 2.65
14 Ru 0.5000 0.1302 0.9521  3 P 2.40-2.41, 2 V 2.65
15 Ru 0.5000 0.8698 0.0479  3 P 2.40-2.41, 2 V 2.65
16 Ru 0.5000 0.8698 0.4521  3 P 2.40-2.41, 2 V 2.65

* total moment: 1.8 μB/cell
* energy of formation: -0.445 eV per atom
* SG: Cmcm

No. 8
First-principles (GGA-PBE) data for Pr2RhF after structural relaxation, as listed in Alexandria.

Lattice parameters (Å, degrees): 4.0452 4.0452 24.0355 90.00 90.00 120.00
Last column: nearest neighbours and their distance in Å.
Fractional coordinates of all 12 atoms:
1 Pr 0.0000 0.0000 0.0000  3 F 2.59
2 Pr 0.0000 0.0000 0.1971  3 Rh 2.77
3 Pr 0.3333 0.6667 0.6667  3 F 2.59
4 Pr 0.3333 0.6667 0.8637  3 Rh 2.77
5 Pr 0.6667 0.3333 0.3333  3 F 2.59
6 Pr 0.6667 0.3333 0.5304  3 Rh 2.77
7 Rh 0.0000 0.0000 0.5925  6 Pr 2.77-2.94
8 Rh 0.3333 0.6667 0.2592  6 Pr 2.77-2.94
9 Rh 0.6667 0.3333 0.9259  6 Pr 2.77-2.94
10 F 0.0000 0.0000 0.3804  3 Pr 2.59
11 F 0.3333 0.6667 0.0470  3 Pr 2.59
12 F 0.6667 0.3333 0.7137  3 Pr 2.59

* total moment: 0.0 μB/cell
* distance to the lowest polymorph of the same formula: 144.2 meV/atom
* SG: R3m

No. 9
First-principles (GGA-PBE) data for Ho8Te3As3S after structural relaxation, as listed in Alexandria.

Lattice parameters (Å, degrees): 8.4283 8.4283 8.4283 58.40 58.40 58.40
Last column: nearest neighbours and their distance in Å.
Fractional coordinates of all 15 atoms:
1 Ho 0.2384 0.2384 0.2384  3 As 2.81, 3 Te 3.09
2 Ho 0.2425 0.7376 0.7376  1 S 2.80, 2 As 2.83, 2 Te 3.07
3 Ho 0.2624 0.2624 0.7575  1 S 2.80, 2 As 2.83, 2 Te 3.07
4 Ho 0.2624 0.7575 0.2624  1 S 2.80, 2 As 2.83, 2 Te 3.07
5 Ho 0.7376 0.2425 0.7376  1 S 2.80, 2 As 2.83, 2 Te 3.07
6 Ho 0.7376 0.7376 0.2425  1 S 2.80, 2 As 2.83, 2 Te 3.07
7 Ho 0.7575 0.2624 0.2624  1 S 2.80, 2 As 2.83, 2 Te 3.07
8 Ho 0.7616 0.7616 0.7616  3 As 2.81, 3 Te 3.09
9 Te 0.0000 0.5000 0.5000  6 Ho 3.07-3.09
10 Te 0.5000 0.0000 0.5000  6 Ho 3.07-3.09
11 Te 0.5000 0.5000 0.0000  6 Ho 3.07-3.09
12 As 0.0000 0.0000 0.5000  6 Ho 2.81-2.83
13 As 0.0000 0.5000 0.0000  6 Ho 2.81-2.83
14 As 0.5000 0.0000 0.0000  6 Ho 2.81-2.83
15 S 0.5000 0.5000 0.5000  6 Ho 2.80

* total moment: 0.0 μB/cell
* VASP energy: -5.647 eV/atom
* SG: R-3m

No. 10
First-principles (GGA-PBE) data for CrAs2Pt after structural relaxation, as listed in Alexandria.

Lattice parameters (Å, degrees): 6.2556 6.2556 6.2556 90.00 90.00 90.00
Last column: nearest neighbours and their distance in Å.
Fractional coordinates of all 16 atoms:
1 Cr 0.0000 0.0000 0.0000  8 As 2.71
2 Cr 0.0000 0.5000 0.5000  8 As 2.71
3 Cr 0.5000 0.0000 0.5000  8 As 2.71
4 Cr 0.5000 0.5000 0.0000  8 As 2.71
5 As 0.2500 0.2500 0.2500  4 Pt 2.71, 4 Cr 2.71
6 As 0.2500 0.2500 0.7500  4 Cr 2.71, 4 Pt 2.71
7 As 0.2500 0.7500 0.2500  4 Cr 2.71, 4 Pt 2.71
8 As 0.2500 0.7500 0.7500  4 Cr 2.71, 4 Pt 2.71
9 As 0.7500 0.2500 0.2500  4 Cr 2.71, 4 Pt 2.71
10 As 0.7500 0.2500 0.7500  4 Cr 2.71, 4 Pt 2.71
11 As 0.7500 0.7500 0.2500  4 Cr 2.71, 4 Pt 2.71
12 As 0.7500 0.7500 0.7500  4 Cr 2.71, 4 Pt 2.71
13 Pt 0.0000 0.0000 0.5000  8 As 2.71
14 Pt 0.0000 0.5000 0.0000  8 As 2.71
15 Pt 0.5000 0.0000 0.0000  8 As 2.71
16 Pt 0.5000 0.5000 0.5000  8 As 2.71

* total moment: 0.0 μB/cell
* distance to the lowest polymorph of the same formula: 294.3 meV/atom
* energy of formation: 0.214 eV per atom
* SG: Fm-3m

No. 11
First-principles (GGA-PBE) data for Ti3InRh4 after structural relaxation, as listed in Alexandria.

Lattice parameters (Å, degrees): 8.9601 6.1673 4.4886 90.00 90.00 90.00
Last column: nearest neighbours and their distance in Å.
Fractional coordinates of all 16 atoms:
1 Ti 0.0000 0.0000 0.0000  8 Rh 2.67-2.68
2 Ti 0.2500 0.0000 0.4809  8 Rh 2.64-2.71
3 Ti 0.2500 0.5000 0.4803  8 Rh 2.74-2.80
4 Ti 0.5000 0.0000 0.0000  8 Rh 2.67-2.68
5 Ti 0.7500 0.0000 0.5191  8 Rh 2.64-2.71
6 Ti 0.7500 0.5000 0.5197  8 Rh 2.74-2.80
7 In 0.0000 0.5000 0.0000  8 Rh 2.77, 2 Ti 3.08
8 In 0.5000 0.5000 0.0000  8 Rh 2.77, 2 Ti 3.08
9 Rh 0.0000 0.2354 0.5000  6 Ti 2.67-2.77, 2 In 2.77, 1 Rh 2.90
10 Rh 0.0000 0.7646 0.5000  6 Ti 2.67-2.77, 2 In 2.77, 1 Rh 2.90
11 Rh 0.2500 0.2365 0.9721  6 Ti 2.64-2.80, 2 In 2.77, 1 Rh 2.92
12 Rh 0.2500 0.7635 0.9721  6 Ti 2.64-2.80, 2 In 2.77, 1 Rh 2.92
13 Rh 0.5000 0.2354 0.5000  6 Ti 2.67-2.77, 2 In 2.77, 1 Rh 2.90
14 Rh 0.5000 0.7646 0.5000  6 Ti 2.67-2.77, 2 In 2.77, 1 Rh 2.90
15 Rh 0.7500 0.2365 0.0279  6 Ti 2.64-2.80, 2 In 2.77, 1 Rh 2.92
16 Rh 0.7500 0.7635 0.0279  6 Ti 2.64-2.80, 2 In 2.77, 1 Rh 2.92

* total moment: 0.0 μB/cell
* energy of formation: -0.694 eV per atom
* SG: Pmma

No. 12
First-principles (GGA-PBE) data for DyCS after structural relaxation, as listed in Alexandria.

Lattice parameters (Å, degrees): 6.8485 4.8081 6.9945 90.00 91.30 90.00
Last column: nearest neighbours and their distance in Å.
Fractional coordinates of all 12 atoms:
1 Dy 0.1629 0.0000 0.2628  4 S 2.65-2.84, 4 C 2.69-2.88
2 Dy 0.3371 0.5000 0.7372  4 S 2.65-2.84, 4 C 2.69-2.88
3 Dy 0.6629 0.5000 0.2628  4 S 2.65-2.84, 4 C 2.69-2.88
4 Dy 0.8371 0.0000 0.7372  4 S 2.65-2.84, 4 C 2.69-2.88
5 C 0.0000 0.3683 0.5000  1 C 1.27
6 C 0.0000 0.6317 0.5000  1 C 1.27
7 C 0.5000 0.1317 0.5000  1 C 1.27
8 C 0.5000 0.8683 0.5000  1 C 1.27
9 S 0.2056 0.0000 0.8594  4 Dy 2.65-2.84
10 S 0.2944 0.5000 0.1406  4 Dy 2.65-2.84
11 S 0.7056 0.5000 0.8594  4 Dy 2.65-2.84
12 S 0.7944 0.0000 0.1406  4 Dy 2.65-2.84

* total moment: 0.0 μB/cell
* distance to the lowest polymorph of the same formula: 0.0 meV/atom
* SG: C2/m

> Among the records above, which one has the highest total moment?

BeFe2Ag